Entry 1:
Here is a geometry-optimized ZnOsCl structure from the Alexandria database. Energies are from PBE.

Summary:
Space group   No. 187
DFT total energy   -3.95 eV per atom
Formation energy (no corrections)   0.8341 eV per atom
Total magnetic moment   0.005 μB/f.u.

Cell: 4.3270 4.3270 2.8417 Å, 90.00 90.00 120.00°
Fractional positions:
1 Zn 0.0000 0.0000 0.0000
2 Os 0.3333 0.6667 0.5000
3 Cl 0.6667 0.3333 0.5000

Entry 2:
Here is a geometry-optimized ZnOs2Cl structure from the Alexandria database. Energies are from PBE.

Summary:
Space group   No. 47
DFT total energy   -5.56 eV per atom
Formation energy (no corrections)   0.8350 eV per atom
Total magnetic moment   0.001 μB/f.u.

Cell: 2.7336 4.5620 4.8626 Å, 90.00 90.00 90.00°
Fractional positions:
1 Zn 0.0000 0.0000 0.0000
2 Os 0.0000 0.5000 0.5000
3 Os 0.5000 0.5000 0.0000
4 Cl 0.5000 0.0000 0.5000

Entry 3:
Here is a geometry-optimized ZnOs2Cl structure from the Alexandria database. Energies are from PBE.

Summary:
Space group   No. 47
DFT total energy   -5.33 eV per atom
Formation energy (no corrections)   1.0689 eV per atom
Total magnetic moment   0.000 μB/f.u.

Cell: 2.7715 3.9780 6.4494 Å, 90.00 90.00 90.00°
Fractional positions:
1 Zn 0.0000 0.0000 0.0000
2 Os 0.5000 0.5000 0.1786
3 Os 0.5000 0.5000 0.8214
4 Cl 0.0000 0.0000 0.5000

Entry 4:
Here is a geometry-optimized Zn2OsCl structure from the Alexandria database. Energies are from PBE.

Summary:
Space group   No. 119
DFT total energy   -3.18 eV per atom
Formation energy (no corrections)   0.7301 eV per atom
Total magnetic moment   0.794 μB/f.u.

Cell: 5.2376 5.2376 5.2376 Å, 137.95 137.95 60.98°
Fractional positions:
1 Zn 0.0000 0.0000 0.0000
2 Zn 0.7500 0.2500 0.5000
3 Os 0.5000 0.5000 0.0000
4 Cl 0.2500 0.7500 0.5000

Entry 5:
Here is a geometry-optimized ZnOs2Cl structure from the Alexandria database. Energies are from PBE.

Summary:
Space group   No. 99
DFT total energy   -6.09 eV per atom
Formation energy (no corrections)   0.3081 eV per atom
Total magnetic moment   0.000 μB/f.u.

Cell: 2.8706 2.8706 7.9438 Å, 90.00 90.00 90.00°
Fractional positions:
1 Zn 0.0000 0.0000 0.0000
2 Os 0.0000 0.0000 0.5720
3 Os 0.5000 0.5000 0.7790
4 Cl 0.5000 0.5000 0.3381

Entry 6:
Here is a geometry-optimized ZnOs2Cl structure from the Alexandria database. Energies are from PBE.

Summary:
Space group   No. 123
DFT total energy   -5.20 eV per atom
Formation energy (no corrections)   1.1998 eV per atom
Total magnetic moment   0.000 μB/f.u.

Cell: 4.3888 4.3888 2.9706 Å, 90.00 90.00 90.00°
Fractional positions:
1 Zn 0.0000 0.0000 0.0000
2 Os 0.0000 0.5000 0.5000
3 Os 0.5000 0.0000 0.5000
4 Cl 0.5000 0.5000 0.0000